The following is a DFT calculation (PBE) of PmHoPuMg after structural relaxation. Values from VASP.

Structure (Quantum ESPRESSO input):
```
&SYSTEM
  ibrav = 0, nat = 4, ntyp = 4
/
ATOMIC_SPECIES
Pm 145.00 Pm.upf
Ho 164.93 Ho.upf
Pu 244.00 Pu.upf
Mg 24.30 Mg.upf
ATOMIC_POSITIONS angstrom
Pm 0.0000 0.0000 0.0000
Ho 3.8829 3.8829 3.8829
Pu 5.8243 5.8243 5.8243
Mg 1.9414 1.9414 1.9414
CELL_PARAMETERS angstrom
0.0000 3.8829 3.8829
3.8829 0.0000 3.8829
3.8829 3.8829 0.0000
```

Values from the calculation:
Calculated density ... 8.20 g/cm³
Calculated total energy ... -24.6 eV per cell
ΔH_f (0 K) ... 0.152 eV per atom

=====

The following is a DFT calculation (PBE) of PmHo4MgS8 after structural relaxation. Values from VASP.

Structure (Quantum ESPRESSO input):
```
&SYSTEM
  ibrav = 0, nat = 14, ntyp = 4
/
ATOMIC_SPECIES
Pm 145.00 Pm.upf
Ho 164.93 Ho.upf
Mg 24.30 Mg.upf
S 32.06 S.upf
ATOMIC_POSITIONS angstrom
Pm 0.0000 0.0000 0.0000
Ho 0.0000 -2.2507 3.2104
Ho -1.9492 1.1253 3.2104
Ho 1.9492 1.1253 3.2104
Ho 0.0000 0.0000 12.2448
Mg 0.0000 0.0000 7.3294
S -2.0908 -1.2071 11.3067
S 0.0000 0.0000 4.7879
S 0.0000 -2.3450 8.2135
S -2.0308 1.1725 8.2135
S 2.0908 -1.2071 11.3067
S 0.0000 2.4143 11.3067
S 0.0000 0.0000 14.8599
S 2.0308 1.1725 8.2136
CELL_PARAMETERS angstrom
3.9857 2.3012 6.5483
-3.9857 2.3012 6.5483
0.0000 -4.6023 6.5483
```

Values from the calculation:
Calculated density ... 5.00 g/cm³
Calculated total energy ... -84.4 eV per cell

=====

The following is a DFT calculation (PBE) of Pm2Ho6MgSc3 after structural relaxation. Values from VASP.

Structure (Quantum ESPRESSO input):
```
&SYSTEM
  ibrav = 0, nat = 12, ntyp = 4
/
ATOMIC_SPECIES
Pm 145.00 Pm.upf
Ho 164.93 Ho.upf
Mg 24.30 Mg.upf
Sc 44.96 Sc.upf
ATOMIC_POSITIONS angstrom
Pm 3.0004 3.4650 0.0000
Pm 3.0004 -3.4650 0.0000
Ho -0.0045 1.7284 8.2987
Ho 0.9989 0.0000 2.9168
Ho -0.0045 -1.7284 8.2987
Ho 3.9911 1.7284 2.9180
Ho 2.9877 0.0000 8.2999
Ho 3.9911 -1.7284 2.9180
Mg 3.0004 0.0000 0.0000
Sc -1.0071 0.0000 5.6084
Sc 1.9933 1.7166 5.6084
Sc 1.9933 -1.7166 5.6084
CELL_PARAMETERS angstrom
3.0004 -5.1995 0.0000
3.0004 5.1995 0.0000
-2.0142 0.0000 11.2167
```

Values from the calculation:
Calculated density ... 6.83 g/cm³
Calculated total energy ... -57.1 eV per cell
ΔH_f (0 K) ... 0.041 eV per atom

=====

The following is a DFT calculation (PBE) of Pm2Ho4MgSc after structural relaxation. Values from VASP.

Structure (Quantum ESPRESSO input):
```
&SYSTEM
  ibrav = 0, nat = 8, ntyp = 4
/
ATOMIC_SPECIES
Pm 145.00 Pm.upf
Ho 164.93 Ho.upf
Mg 24.30 Mg.upf
Sc 44.96 Sc.upf
ATOMIC_POSITIONS angstrom
Pm 0.0000 0.0000 0.0000
Pm 2.4700 2.4654 4.9342
Ho 4.9442 2.4654 2.4288
Ho -0.0042 2.4654 7.4396
Ho 2.4695 0.0000 2.4223
Ho 2.4705 0.0000 7.4461
Mg -0.0039 0.0000 4.9342
Sc 2.4739 2.4654 0.0000
CELL_PARAMETERS angstrom
4.9478 0.0000 0.0000
0.0000 4.9309 0.0000
-0.0077 0.0000 9.8684
```

Values from the calculation:
Calculated density ... 7.03 g/cm³
Calculated total energy ... -35.4 eV per cell
ΔH_f (0 K) ... 0.037 eV per atom

=====

The following is a DFT calculation (PBE) of PmHoMgSi after structural relaxation. Values from VASP.

Structure (Quantum ESPRESSO input):
```
&SYSTEM
  ibrav = 0, nat = 4, ntyp = 4
/
ATOMIC_SPECIES
Pm 145.00 Pm.upf
Ho 164.93 Ho.upf
Mg 24.30 Mg.upf
Si 28.09 Si.upf
ATOMIC_POSITIONS angstrom
Pm 0.0000 0.0000 0.0000
Ho 3.6325 3.6325 3.6325
Mg 1.8163 1.8163 1.8163
Si 5.4488 5.4488 5.4488
CELL_PARAMETERS angstrom
0.0000 3.6325 3.6325
3.6325 0.0000 3.6325
3.6325 3.6325 0.0000
```

Values from the calculation:
Calculated density ... 6.28 g/cm³
Calculated total energy ... -17.5 eV per cell

=====

The following is a DFT calculation (PBE) of Pm2Sm6HoMg after structural relaxation. Values from VASP.

Structure (Quantum ESPRESSO input):
```
&SYSTEM
  ibrav = 0, nat = 20, ntyp = 4
/
ATOMIC_SPECIES
Pm 145.00 Pm.upf
Sm 150.36 Sm.upf
Ho 164.93 Ho.upf
Mg 24.30 Mg.upf
ATOMIC_POSITIONS angstrom
Pm 1.6906 0.7445 4.2927
Pm 1.0522 -0.7445 9.0406
Pm 6.8940 0.7445 0.4551
Pm 6.2556 -0.7445 5.2030
Sm 2.5215 5.9447 8.4178
Sm 1.7625 3.2593 6.5897
Sm 4.7862 5.9447 5.8258
Sm 4.0278 2.7506 0.4939
Sm 4.5568 2.7506 4.2540
Sm 5.5452 3.2593 7.6539
Sm 2.4010 -3.2593 1.8419
Sm 3.3894 -2.7506 5.2418
Sm 3.9184 -2.7506 9.0018
Sm 3.1599 -5.9447 3.6699
Sm 6.1836 -3.2593 2.9060
Sm 5.4247 -5.9447 1.0779
Ho 3.6539 0.2854 7.1218
Ho 4.2923 -0.2854 2.3739
Mg 4.2923 6.1561 2.3739
Mg 3.6539 -6.1561 7.1218
CELL_PARAMETERS angstrom
4.6115 -7.5190 0.0000
4.6115 7.5190 0.0000
-1.2768 0.0000 9.4957
```

Values from the calculation:
Calculated density ... 6.97 g/cm³
Calculated total energy ... -85.7 eV per cell
ΔH_f (0 K) ... 0.113 eV per atom

=====

The following is a DFT calculation (PBE) of Pm6SmHo2Mg after structural relaxation. Values from VASP.

Structure (Quantum ESPRESSO input):
```
&SYSTEM
  ibrav = 0, nat = 20, ntyp = 4
/
ATOMIC_SPECIES
Pm 145.00 Pm.upf
Sm 150.36 Sm.upf
Ho 164.93 Ho.upf
Mg 24.30 Mg.upf
ATOMIC_POSITIONS angstrom
Pm 2.0525 3.3314 7.2131
Pm 4.1029 5.2670 4.9616
Pm 4.7921 5.2670 8.5319
Pm 3.6072 2.0121 3.6553
Pm 2.2027 -3.3314 2.7152
Pm 5.5882 2.0121 0.8425
Pm 3.4570 -2.0121 8.1532
Pm 6.8426 3.3314 6.2805
Pm 5.4380 -2.0121 5.3404
Pm 4.2531 -5.2670 0.4638
Pm 4.9423 -5.2670 4.0341
Pm 6.9928 -3.3314 1.7826
Sm 4.5977 7.3165 2.2489
Sm 4.4475 -7.3165 6.7468
Ho 2.4906 0.7901 0.4808
Ho 2.3404 -0.7901 4.9787
Ho 6.7048 0.7901 4.0170
Ho 6.5546 -0.7901 8.5149
Mg 4.4475 0.9854 6.7468
Mg 4.5977 -0.9854 2.2489
CELL_PARAMETERS angstrom
4.6728 -7.8441 0.0000
4.6728 7.8441 0.0000
-0.3004 0.0000 8.9957
```

Values from the calculation:
Calculated density ... 6.92 g/cm³
Calculated total energy ... -85.6 eV per cell
ΔH_f (0 K) ... 0.118 eV per atom

=====

The following is a DFT calculation (PBE) of Pm6Sm2HoMg after structural relaxation. Values from VASP.

Structure (Quantum ESPRESSO input):
```
&SYSTEM
  ibrav = 0, nat = 20, ntyp = 4
/
ATOMIC_SPECIES
Pm 145.00 Pm.upf
Sm 150.36 Sm.upf
Ho 164.93 Ho.upf
Mg 24.30 Mg.upf
ATOMIC_POSITIONS angstrom
Pm 2.4100 4.2887 1.8529
Pm 3.4543 4.8039 5.2354
Pm 3.9748 4.8039 8.9998
Pm 3.1827 1.5802 3.6743
Pm 6.2371 4.2887 2.8922
Pm 2.5737 -1.5802 8.4194
Pm 5.4643 1.5802 1.0708
Pm 1.8010 -4.2887 6.5980
Pm 4.8553 -1.5802 5.8158
Pm 4.0633 -4.8039 0.4904
Pm 4.5838 -4.8039 4.2547
Pm 5.6281 -4.2887 7.6372
Sm 2.2947 0.7540 0.4590
Sm 1.6857 -0.7540 5.2041
Sm 6.3524 0.7540 4.2861
Sm 5.7434 -0.7540 9.0311
Ho 4.3235 7.2517 2.3725
Ho 3.7145 -7.2517 7.1176
Mg 3.7145 1.3500 7.1176
Mg 4.3235 -1.3500 2.3725
CELL_PARAMETERS angstrom
4.6280 -7.5539 0.0000
4.6280 7.5539 0.0000
-1.2180 0.0000 9.4902
```

Values from the calculation:
Calculated density ... 6.81 g/cm³
Calculated total energy ... -86.0 eV per cell
ΔH_f (0 K) ... 0.112 eV per atom

=====

The following is a DFT calculation (PBE) of Pm6Sm3Ho2Mg after structural relaxation. Values from VASP.

Structure (Quantum ESPRESSO input):
```
&SYSTEM
  ibrav = 0, nat = 12, ntyp = 4
/
ATOMIC_SPECIES
Pm 145.00 Pm.upf
Sm 150.36 Sm.upf
Ho 164.93 Ho.upf
Mg 24.30 Mg.upf
ATOMIC_POSITIONS angstrom
Pm 1.0259 1.7986 2.8566
Pm -0.0099 0.0000 8.7686
Pm 1.0259 -1.7986 2.8566
Pm 3.1218 1.7986 8.7861
Pm 4.1577 0.0000 2.8742
Pm 3.1218 -1.7986 8.7861
Sm 2.0739 3.6110 5.8214
Sm 2.0739 0.0000 5.8214
Sm 2.0739 -3.6110 5.8214
Ho 3.1226 1.8032 0.0000
Ho 3.1226 -1.8032 0.0000
Mg 0.0000 0.0000 0.0000
CELL_PARAMETERS angstrom
3.1226 -5.4153 0.0000
3.1226 5.4153 0.0000
-2.0975 0.0000 11.6427
```

Values from the calculation:
Calculated density ... 7.06 g/cm³
Calculated total energy ... -53.1 eV per cell
ΔH_f (0 K) ... 0.026 eV per atom

=====

The following is a DFT calculation (PBE) of Pm4Sm2HoMg after structural relaxation. Values from VASP.

Structure (Quantum ESPRESSO input):
```
&SYSTEM
  ibrav = 0, nat = 8, ntyp = 4
/
ATOMIC_SPECIES
Pm 145.00 Pm.upf
Sm 150.36 Sm.upf
Ho 164.93 Ho.upf
Mg 24.30 Mg.upf
ATOMIC_POSITIONS angstrom
Pm 0.0000 2.5284 2.5064
Pm 0.0000 2.5284 7.6154
Pm 2.5284 0.0000 2.5064
Pm 2.5284 0.0000 7.6154
Sm 0.0000 0.0000 0.0000
Sm 2.5284 2.5284 5.0609
Ho 0.0000 0.0000 5.0609
Mg 2.5284 2.5284 0.0000
CELL_PARAMETERS angstrom
5.0567 0.0000 0.0000
0.0000 5.0567 0.0000
0.0000 0.0000 10.1218
```

Values from the calculation:
Calculated density ... 6.86 g/cm³
Calculated total energy ... -34.5 eV per cell
ΔH_f (0 K) ... 0.011 eV per atom